Computed, not measured: an optimized crystal structure of Pa3Sb at the GGA-PBE level of DFT.

Summary:
As for the symmetry: Imm2 (44). The calculation puts the uncorrected formation energy at -0.211 eV per atom. As for the crystal system: orthorhombic.

Unit cell a=3.2517 b=5.6340 c=6.3027 alpha=116.55 beta=104.95 gamma=90.00
With the nearest neighbours (Å) after each atom.
Element x y z (fractional)
Pa 0.5000 0.5058 0.0000  8 Pa 3.19-3.36, 4 Sb 3.24-3.27
Pa 0.7442 0.0702 0.4884  9 Pa 3.19-3.36, 3 Sb 3.26-3.29
Pa 0.2558 0.5817 0.5116  9 Pa 3.19-3.36, 3 Sb 3.26-3.29
Sb 0.0000 0.0090 0.0000  10 Pa 3.24-3.29, 2 Sb 3.25

---

Computed, not measured: an optimized crystal structure of GaTcAs2Se at the GGA-PBE level of DFT.

Summary:
As for the symmetry: P4/mmm (123). The calculation puts the uncorrected formation energy at 0.359 eV per atom. As for the crystal system: tetragonal.

Unit cell a=4.6975 b=4.6975 c=5.5053 alpha=90.00 beta=90.00 gamma=90.00
With the nearest neighbours (Å) after each atom.
Element x y z (fractional)
Ga 0.5000 0.5000 0.5000  4 Se 3.32, 8 As 3.62
Se 0.0000 0.0000 0.5000  2 Tc 2.75
As 0.0000 0.5000 0.0000  2 Tc 2.35
As 0.5000 0.0000 0.0000  2 Tc 2.35
Tc 0.0000 0.0000 0.0000  4 As 2.35

---

Computed, not measured: an optimized crystal structure of Li4MgTl2 at the GGA-PBE level of DFT.

Summary:
As for the symmetry: R-3m (166). The formation energy is -0.1809 eV per atom. As for the crystal system: trigonal.

Unit cell a=4.8384 b=4.8384 c=7.5746 alpha=71.37 beta=71.37 gamma=60.00
With the nearest neighbours (Å) after each atom.
Element x y z (fractional)
Tl 0.7308 0.7308 0.8075  4 Li 2.77-2.82
Li 0.4172 0.4172 0.7483  4 Tl 2.82-3.13, 3 Li 3.02
Mg 0.0000 0.0000 0.0000  2 Li 2.92, 6 Tl 3.10
Li 0.1381 0.1381 0.5858  1 Tl 2.77, 1 Mg 2.92, 6 Li 3.02-3.04
Li 0.8619 0.8619 0.4142  1 Tl 2.77, 1 Mg 2.92, 6 Li 3.02-3.04
Li 0.5828 0.5828 0.2517  4 Tl 2.82-3.13, 3 Li 3.02
Tl 0.2692 0.2692 0.1925  4 Li 2.77-2.82

---

These records have ΔE to the lowest computed polymorph values of 0.1342; 0.0000; 0.0000 eV/atom, in the order they appear.